ReRuSe2Br: optimized geometry, PBE.

Lattice parameters (Å, degrees): 4.7815 4.7815 5.3421 90.00 90.00 90.00
With the nearest neighbours (Å) after each atom.
Fractional positions:
Re 0.0000 0.0000 0.0000  4 Se 2.39, 2 Br 2.67
Ru 0.5000 0.5000 0.5000  4 Br 3.38, 8 Se 3.58
Se 0.0000 0.5000 0.0000  2 Re 2.39
Se 0.5000 0.0000 0.0000  2 Re 2.39
Br 0.0000 0.0000 0.5000  2 Re 2.67

Results
- energy relative to the elements, uncorrected (kcal/mol of atoms) = 26.88
- D(E_F) (states/eV/f.u.) = 6.58
- offset from the most stable computed form (eV per formula unit) = 0.00
- calculated density (g/cm³) = 7.14
- SG = P4/mmm (123)

=====

Tl2ReRuBr: optimized geometry, PBE.

Lattice parameters (Å, degrees): 5.4964 5.4964 4.6396 90.00 90.00 90.00
With the nearest neighbours (Å) after each atom.
Fractional positions:
Tl 0.0000 0.5000 0.0000  2 Re 2.75
Tl 0.5000 0.0000 0.0000  2 Re 2.75
Re 0.0000 0.0000 0.0000  2 Ru 2.32
Ru 0.0000 0.0000 0.5000  2 Re 2.32
Br 0.5000 0.5000 0.5000  8 Tl 3.60, 4 Ru 3.89

Results
- energy relative to the elements, uncorrected (kcal/mol of atoms) = 19.97
- D(E_F) (states/eV/f.u.) = 4.88
- calculated density (g/cm³) = 9.19
- SG = P4/mmm (123)

=====

YReRu2Br: optimized geometry, PBE.

Lattice parameters (Å, degrees): 4.5973 4.5973 4.6241 90.00 90.00 90.00
With the nearest neighbours (Å) after each atom.
Fractional positions:
Y 0.0000 0.0000 0.0000  4 Re 3.25, 8 Ru 3.26
Re 0.5000 0.5000 0.0000  2 Br 2.31
Ru 0.0000 0.5000 0.5000  2 Br 2.30
Ru 0.5000 0.0000 0.5000  2 Br 2.30
Br 0.5000 0.5000 0.5000  4 Ru 2.30, 2 Re 2.31

Results
- energy relative to the elements, uncorrected (kcal/mol of atoms) = 24.99
- D(E_F) (states/eV/f.u.) = 4.72
- calculated density (g/cm³) = 9.47
- SG = P4/mmm (123)

=====

Re2S4Br: optimized geometry, PBE.

Lattice parameters (Å, degrees): 7.0308 7.0308 7.4424 120.30 120.30 83.94
With the nearest neighbours (Å) after each atom.
Fractional positions:
Re 0.0063 0.9937 0.5000  6 S 2.37-2.50
Re 0.3846 0.9826 0.9278  6 S 2.33-2.60
Re 0.9826 0.3846 0.4278  6 S 2.33-2.60
Re 0.9937 0.0063 0.0000  6 S 2.37-2.50
S 0.1382 0.2309 0.9229  3 Re 2.33-2.39
S 0.1802 0.6986 0.8812  3 Re 2.36-2.57, 1 Br 2.39, 1 S 2.63
S 0.2230 0.7035 0.5050  3 Re 2.38-2.60
S 0.2309 0.1382 0.4229  3 Re 2.33-2.39
S 0.6986 0.1802 0.3812  3 Re 2.36-2.57, 1 Br 2.39, 1 S 2.63
S 0.7035 0.2230 0.0050  3 Re 2.38-2.60
S 0.7510 0.8291 0.0495  1 Br 2.34, 3 Re 2.48-2.58
S 0.8291 0.7510 0.5495  1 Br 2.34, 3 Re 2.48-2.58
Br 0.4620 0.6802 0.2277  2 S 2.34-2.39
Br 0.6802 0.4620 0.7277  2 S 2.34-2.39

Results
- energy relative to the elements, uncorrected (kcal/mol of atoms) = -0.92
- D(E_F) (states/eV/f.u.) = 3.25
- calculated density (g/cm³) = 7.17
- SG = Cc (9)

=====

Re3S4Br: optimized geometry, PBE.

Lattice parameters (Å, degrees): 6.4382 11.6339 11.3949 90.00 112.34 90.00
With the nearest neighbours (Å) after each atom.
Fractional positions:
Re 0.0291 0.0650 0.1545  4 S 2.40-2.43, 4 Re 2.61-2.65, 1 Br 2.63
Re 0.0291 0.4350 0.6545  4 S 2.40-2.43, 4 Re 2.61-2.65, 1 Br 2.63
Re 0.0348 0.1453 0.9418  4 S 2.40-2.42, 4 Re 2.61-2.65, 1 Br 2.64
Re 0.0348 0.3547 0.4418  4 S 2.40-2.42, 4 Re 2.61-2.65, 1 Br 2.64
Re 0.3072 0.5222 0.5598  5 S 2.40-2.52, 4 Re 2.62
Re 0.3072 0.9778 0.0598  5 S 2.40-2.52, 4 Re 2.62
Re 0.6928 0.0222 0.9402  5 S 2.40-2.52, 4 Re 2.62
Re 0.6928 0.4778 0.4402  5 S 2.40-2.52, 4 Re 2.62
Re 0.9652 0.6453 0.5582  4 S 2.40-2.42, 4 Re 2.61-2.65, 1 Br 2.64
Re 0.9652 0.8547 0.0582  4 S 2.40-2.42, 4 Re 2.61-2.65, 1 Br 2.64
Re 0.9709 0.5650 0.3455  4 S 2.40-2.43, 4 Re 2.61-2.65, 1 Br 2.63
Re 0.9709 0.9350 0.8455  4 S 2.40-2.43, 4 Re 2.61-2.65, 1 Br 2.63
S 0.2246 0.7120 0.4680  3 Re 2.40-2.41
S 0.2246 0.7880 0.9680  3 Re 2.40-2.41
S 0.2771 0.0579 0.8480  4 Re 2.42-2.52
S 0.2771 0.4421 0.3480  4 Re 2.42-2.52
S 0.2777 0.5940 0.7503  3 Re 2.40-2.42
S 0.2777 0.9060 0.2503  3 Re 2.40-2.42
S 0.3410 0.1706 0.1440  3 Re 2.40-2.42
S 0.3410 0.3294 0.6440  3 Re 2.40-2.42
S 0.6590 0.6706 0.3560  3 Re 2.40-2.42
S 0.6590 0.8294 0.8560  3 Re 2.40-2.42
S 0.7223 0.0940 0.7497  3 Re 2.40-2.42
S 0.7223 0.4060 0.2497  3 Re 2.40-2.42
S 0.7229 0.5579 0.6520  4 Re 2.42-2.52
S 0.7229 0.9421 0.1520  4 Re 2.42-2.52
S 0.7754 0.2120 0.0320  3 Re 2.40-2.41
S 0.7754 0.2880 0.5320  3 Re 2.40-2.41
Br 0.0939 0.1410 0.3834  2 Re 2.63-2.64
Br 0.0939 0.3590 0.8834  2 Re 2.63-2.64
Br 0.9061 0.6410 0.1166  2 Re 2.63-2.64
Br 0.9061 0.8590 0.6166  2 Re 2.63-2.64

Results
- energy relative to the elements, uncorrected (kcal/mol of atoms) = -13.12
- calculated density (g/cm³) = 6.45
- SG = P2_1/c (14)

=====

Re3S4Br3: optimized geometry, PBE.

Lattice parameters (Å, degrees): 9.6780 9.8326 12.6546 82.56 75.61 81.49
With the nearest neighbours (Å) after each atom.
Fractional positions:
Re 0.0007 0.4849 0.1538  4 S 2.38-2.44, 1 Br 2.49, 2 Re 2.63-2.65
Re 0.0948 0.6567 0.9805  4 S 2.40-2.45, 1 Br 2.50, 3 Re 2.61-2.65
Re 0.1734 0.3887 0.9769  4 S 2.39-2.46, 1 Br 2.52, 3 Re 2.61-2.63
Re 0.2948 0.0361 0.5571  4 S 2.37-2.44, 1 Br 2.49, 2 Re 2.64
Re 0.4639 0.9283 0.3833  4 S 2.40-2.46, 1 Br 2.52, 3 Re 2.61-2.64
Re 0.4946 0.1752 0.4252  4 S 2.40-2.46, 1 Br 2.51, 3 Re 2.61-2.64
Re 0.5054 0.8248 0.5748  4 S 2.40-2.46, 1 Br 2.51, 3 Re 2.61-2.64
Re 0.5361 0.0717 0.6167  4 S 2.40-2.46, 1 Br 2.52, 3 Re 2.61-2.64
Re 0.7052 0.9639 0.4429  4 S 2.37-2.44, 1 Br 2.49, 2 Re 2.64
Re 0.8266 0.6113 0.0231  4 S 2.39-2.46, 1 Br 2.52, 3 Re 2.61-2.63
Re 0.9052 0.3433 0.0195  4 S 2.40-2.45, 1 Br 2.50, 3 Re 2.61-2.65
Re 0.9993 0.5151 0.8462  4 S 2.38-2.44, 1 Br 2.49, 2 Re 2.63-2.65
S 0.0598 0.2414 0.1381  3 Re 2.40-2.46
S 0.0842 0.2728 0.8562  3 Re 2.40-2.45
S 0.2449 0.5273 0.0961  3 Re 2.38-2.44
S 0.2490 0.5531 0.8246  3 Re 2.39-2.44
S 0.2802 0.1256 0.3764  3 Re 2.37-2.44
S 0.2877 0.8037 0.5224  3 Re 2.40-2.46
S 0.3447 0.2525 0.5989  3 Re 2.40-2.46
S 0.3566 0.9374 0.7286  3 Re 2.40-2.44
S 0.6434 0.0626 0.2714  3 Re 2.40-2.44
S 0.6553 0.7475 0.4011  3 Re 2.40-2.46
S 0.7123 0.1963 0.4776  3 Re 2.40-2.46
S 0.7198 0.8744 0.6236  3 Re 2.37-2.44
S 0.7510 0.4469 0.1754  3 Re 2.39-2.44
S 0.7551 0.4727 0.9039  3 Re 2.38-2.44
S 0.9158 0.7272 0.1438  3 Re 2.40-2.45
S 0.9402 0.7586 0.8619  3 Re 2.40-2.46
Br 0.0019 0.4649 0.3515  1 Re 2.49
Br 0.0302 0.0834 0.6307  1 Re 2.49
Br 0.2097 0.8713 0.9714  1 Re 2.50
Br 0.3845 0.8236 0.2399  1 Re 2.52
Br 0.3972 0.2208 0.9740  1 Re 2.52
Br 0.4678 0.4180 0.3365  1 Re 2.51
Br 0.5322 0.5820 0.6635  1 Re 2.51
Br 0.6028 0.7792 0.0260  1 Re 2.52
Br 0.6155 0.1764 0.7601  1 Re 2.52
Br 0.7903 0.1287 0.0286  1 Re 2.50
Br 0.9698 0.9166 0.3693  1 Re 2.49
Br 0.9981 0.5351 0.6485  1 Re 2.49

Results
- energy relative to the elements, uncorrected (kcal/mol of atoms) = -10.05
- D(E_F) (states/eV/f.u.) = 6.10
- calculated density (g/cm³) = 5.36
- SG = P-1 (2)

=====

ReSbS2Br: optimized geometry, PBE.

Lattice parameters (Å, degrees): 4.9291 4.9291 5.6855 90.00 90.00 90.00
With the nearest neighbours (Å) after each atom.
Fractional positions:
Re 0.0000 0.0000 0.0000  2 Sb 2.84
Sb 0.0000 0.0000 0.5000  4 S 2.46
S 0.0000 0.5000 0.5000  2 Sb 2.46
S 0.5000 0.0000 0.5000  2 Sb 2.46
Br 0.5000 0.5000 0.0000  4 Re 3.49, 8 S 3.76

Results
- energy relative to the elements, uncorrected (kcal/mol of atoms) = 30.59
- D(E_F) (states/eV/f.u.) = 3.55
- calculated density (g/cm³) = 5.43
- SG = P4/mmm (123)

=====

ScReSBr2: optimized geometry, PBE.

Lattice parameters (Å, degrees): 4.7037 4.7037 5.7185 90.00 90.00 90.00
With the nearest neighbours (Å) after each atom.
Fractional positions:
Sc 0.0000 0.0000 0.0000  2 Re 2.86
Re 0.0000 0.0000 0.5000  4 Br 2.35
S 0.5000 0.5000 0.0000  4 Sc 3.33, 8 Br 3.70
Br 0.0000 0.5000 0.5000  2 Re 2.35
Br 0.5000 0.0000 0.5000  2 Re 2.35

Results
- energy relative to the elements, uncorrected (kcal/mol of atoms) = 9.04
- D(E_F) (states/eV/f.u.) = 3.62
- calculated density (g/cm³) = 5.55
- SG = P4/mmm (123)

=====

> What is the formula in the sixth record?

Re3S4Br3

=====

> What is the calculated density in the sixth record?

5.36 g/cm³

=====

> Look up the calculated density of the seventh one.

5.43 g/cm³